1.
First-principles (PBE) data for an optimized crystal structure of Pm3ZnSn6, as listed in Alexandria.

Output
Formation energy from the elements ... -0.3851 eV/atom
Total moment ... 0.000 Bohr magnetons per cell

abc: 8.414 8.414 8.035
angles: 90.00 90.00 95.49
Positions (direct):
Pm (0.177, 0.823, 0.500)
Pm (0.261, 0.376, 0.418)
Pm (0.376, 0.261, 0.918)
Pm (0.624, 0.739, 0.418)
Pm (0.739, 0.624, 0.918)
Pm (0.823, 0.177, 0.000)
Zn (0.383, 0.617, 0.092)
Zn (0.617, 0.383, 0.592)
Sn (0.054, 0.520, 0.130)
Sn (0.083, 0.165, 0.695)
Sn (0.165, 0.083, 0.195)
Sn (0.181, 0.819, 0.905)
Sn (0.406, 0.594, 0.718)
Sn (0.480, 0.946, 0.130)
Sn (0.520, 0.054, 0.630)
Sn (0.594, 0.406, 0.218)
Sn (0.819, 0.181, 0.405)
Sn (0.835, 0.917, 0.695)
Sn (0.917, 0.835, 0.195)
Sn (0.946, 0.480, 0.630)



2.
First-principles (PBE) data for an optimized crystal structure of EuY2Mg, as listed in Alexandria.

Output
Formation energy from the elements ... 0.1924 eV/atom
Total moment ... 8.230 Bohr magnetons per cell
E above lowest polymorph ... 17.9 kJ/mol of atoms

abc: 12.395 12.395 12.395
angles: 16.33 16.33 16.33
Positions (direct):
Eu (0.000, 0.000, 0.000)
Y (0.095, 0.095, 0.095)
Y (0.905, 0.905, 0.905)
Mg (0.500, 0.500, 0.500)



3.
First-principles (PBE) data for an optimized crystal structure of SrAsP2, as listed in Alexandria.

Output
Formation energy from the elements ... -0.2830 eV/atom
Total moment ... 0.000 Bohr magnetons per cell

abc: 6.460 6.460 6.460
angles: 113.13 113.13 102.38
Positions (direct):
Sr (0.000, 0.000, 0.000)
Sr (0.750, 0.250, 0.500)
As (0.250, 0.750, 0.500)
As (0.500, 0.500, 0.000)
P (0.199, 0.625, 0.074)
P (0.375, 0.449, 0.574)
P (0.551, 0.125, 0.926)
P (0.875, 0.801, 0.426)



4.
First-principles (PBE) data for an optimized crystal structure of TbY6Er, as listed in Alexandria.

Output
Formation energy from the elements ... 0.1585 eV/atom
Total moment ... 0.002 Bohr magnetons per cell

abc: 6.459 6.459 6.459
angles: 96.18 96.18 96.18
Positions (direct):
Tb (0.000, 0.000, 0.000)
Y (0.044, 0.455, 0.749)
Y (0.251, 0.956, 0.545)
Y (0.455, 0.749, 0.044)
Y (0.545, 0.251, 0.956)
Y (0.749, 0.044, 0.455)
Y (0.956, 0.545, 0.251)
Er (0.500, 0.500, 0.500)



5.
First-principles (PBE) data for an optimized crystal structure of Sr3In3Hg8, as listed in Alexandria.

Output
Formation energy from the elements ... -0.3424 eV/atom
Total moment ... 0.000 Bohr magnetons per cell

abc: 9.419 9.419 9.419
angles: 149.20 110.91 77.53
Positions (direct):
Sr (0.000, 0.000, 0.000)
Sr (0.294, 0.294, 0.000)
Sr (0.706, 0.706, 0.000)
In (0.312, 0.500, 0.812)
In (0.500, 0.000, 0.500)
In (0.688, 0.500, 0.188)
Hg (0.022, 0.658, 0.365)
Hg (0.145, 0.859, 0.286)
Hg (0.293, 0.658, 0.635)
Hg (0.427, 0.141, 0.286)
Hg (0.573, 0.859, 0.714)
Hg (0.707, 0.342, 0.365)
Hg (0.855, 0.141, 0.714)
Hg (0.978, 0.342, 0.635)



6.
First-principles (PBE) data for an optimized crystal structure of YZr4Tc, as listed in Alexandria.

Output
Formation energy from the elements ... 0.4617 eV/atom
Total moment ... 0.000 Bohr magnetons per cell

abc: 5.775 5.775 5.775
angles: 60.00 60.00 60.00
Positions (direct):
Y (0.000, 0.000, 0.000)
Zr (0.127, 0.624, 0.624)
Zr (0.624, 0.127, 0.624)
Zr (0.624, 0.624, 0.127)
Zr (0.624, 0.624, 0.624)
Tc (0.250, 0.250, 0.250)



7.
First-principles (PBE) data for an optimized crystal structure of Tb2ZnGa2, as listed in Alexandria.

Output
Formation energy from the elements ... -0.5851 eV/atom
Total moment ... 0.043 Bohr magnetons per cell

abc: 5.768 5.768 10.490
angles: 115.59 115.59 45.04
Positions (direct):
Tb (0.019, 0.019, 0.333)
Tb (0.183, 0.183, 0.096)
Tb (0.817, 0.817, 0.904)
Tb (0.981, 0.981, 0.667)
Zn (0.274, 0.274, 0.656)
Zn (0.726, 0.726, 0.344)
Ga (0.361, 0.361, 0.433)
Ga (0.480, 0.480, 0.118)
Ga (0.520, 0.520, 0.882)
Ga (0.639, 0.639, 0.567)



8.
First-principles (PBE) data for an optimized crystal structure of UZn4Au5, as listed in Alexandria.

Output
Formation energy from the elements ... -0.1881 eV/atom
Total moment ... 2.872 Bohr magnetons per cell

abc: 3.187 3.187 17.143
angles: 90.00 90.00 90.00
Positions (direct):
U (0.000, 0.000, 0.000)
Zn (0.000, 0.000, 0.220)
Zn (0.000, 0.000, 0.407)
Zn (0.000, 0.000, 0.593)
Zn (0.000, 0.000, 0.780)
Au (0.500, 0.500, 0.127)
Au (0.500, 0.500, 0.314)
Au (0.500, 0.500, 0.500)
Au (0.500, 0.500, 0.686)
Au (0.500, 0.500, 0.873)



9.
First-principles (PBE) data for an optimized crystal structure of LiAlPb4, as listed in Alexandria.

Output
Formation energy from the elements ... 0.2472 eV/atom
Total moment ... 0.000 Bohr magnetons per cell

abc: 6.455 6.455 6.455
angles: 60.00 60.00 60.00
Positions (direct):
Li (0.000, 0.000, 0.000)
Al (0.250, 0.250, 0.250)
Pb (0.125, 0.625, 0.625)
Pb (0.625, 0.125, 0.625)
Pb (0.625, 0.625, 0.125)
Pb (0.625, 0.625, 0.625)



10.
First-principles (PBE) data for an optimized crystal structure of PmLuTh, as listed in Alexandria.

Output
Formation energy from the elements ... 0.0368 eV/atom
Total moment ... 0.000 Bohr magnetons per cell

abc: 7.912 7.912 7.912
angles: 153.82 153.82 37.37
Positions (direct):
Pm (0.000, 0.000, 0.000)
Lu (0.678, 0.678, 0.000)
Th (0.335, 0.335, 0.000)



11.
First-principles (PBE) data for an optimized crystal structure of LiTm2ThHg4, as listed in Alexandria.

Output
Formation energy from the elements ... -0.3592 eV/atom
Total moment ... 0.000 Bohr magnetons per cell

abc: 9.400 9.400 9.400
angles: 31.18 31.18 31.18
Positions (direct):
Li (0.000, 0.000, 0.000)
Tm (0.257, 0.257, 0.257)
Tm (0.743, 0.743, 0.743)
Th (0.500, 0.500, 0.500)
Hg (0.115, 0.115, 0.115)
Hg (0.371, 0.371, 0.371)
Hg (0.629, 0.629, 0.629)
Hg (0.885, 0.885, 0.885)



12.
First-principles (PBE) data for an optimized crystal structure of RbHoSnS3, as listed in Alexandria.

Output
Raw total energy ... -4.929 eV/atom
Total moment ... 0.000 Bohr magnetons per cell

abc: 8.885 8.885 11.279
angles: 90.00 90.00 154.19
Positions (direct):
Rb (0.184, 0.816, 0.750)
Rb (0.816, 0.184, 0.250)
Ho (0.500, 0.500, 0.000)
Ho (0.500, 0.500, 0.500)
Sn (0.115, 0.885, 0.250)
Sn (0.885, 0.115, 0.750)
S (0.106, 0.894, 0.004)
S (0.106, 0.894, 0.496)
S (0.487, 0.513, 0.750)
S (0.513, 0.487, 0.250)
S (0.894, 0.106, 0.504)
S (0.894, 0.106, 0.996)



13.
First-principles (PBE) data for an optimized crystal structure of ScTlOs2, as listed in Alexandria.

Output
Formation energy from the elements ... 0.4481 eV/atom
Total moment ... 0.000 Bohr magnetons per cell

abc: 9.359 9.359 9.359
angles: 18.52 18.52 18.52
Positions (direct):
Sc (0.000, 0.000, 0.000)
Tl (0.238, 0.238, 0.238)
Os (0.484, 0.484, 0.484)
Os (0.745, 0.745, 0.745)



14.
First-principles (PBE) data for an optimized crystal structure of RbLaTe2N, as listed in Alexandria.

Output
Total moment ... 2.807 Bohr magnetons per cell
E above lowest polymorph ... 100.6 kJ/mol of atoms

abc: 6.166 6.166 4.832
angles: 90.00 90.00 90.00
Positions (direct):
Rb (0.000, 0.000, 0.000)
La (0.500, 0.500, 0.500)
Te (0.000, 0.500, 0.000)
Te (0.500, 0.000, 0.000)
N (0.000, 0.000, 0.500)



15.
First-principles (PBE) data for an optimized crystal structure of TlCrSe4, as listed in Alexandria.

Output
Total moment ... 5.999 Bohr magnetons per cell
E above lowest polymorph ... 0.0 kJ/mol of atoms

abc: 7.430 7.896 7.917
angles: 113.93 104.54 104.82
Positions (direct):
Tl (0.248, 0.341, 0.152)
Tl (0.752, 0.659, 0.848)
Cr (0.250, 0.004, 0.496)
Cr (0.750, 0.996, 0.504)
Se (0.028, 0.197, 0.447)
Se (0.186, 0.740, 0.155)
Se (0.315, 0.346, 0.758)
Se (0.473, 0.053, 0.303)
Se (0.527, 0.947, 0.697)
Se (0.685, 0.654, 0.242)
Se (0.814, 0.260, 0.845)
Se (0.972, 0.803, 0.553)



16.
First-principles (PBE) data for an optimized crystal structure of ScHgTeN2, as listed in Alexandria.

Output
Total moment ... 2.407 Bohr magnetons per cell
E above lowest polymorph ... 74.9 kJ/mol of atoms

abc: 4.262 4.262 6.108
angles: 90.00 90.00 90.00
Positions (direct):
Sc (0.000, 0.000, 0.000)
Hg (0.500, 0.500, 0.500)
Te (0.500, 0.500, 0.000)
N (0.000, 0.500, 0.500)
N (0.500, 0.000, 0.500)



17.
First-principles (PBE) data for an optimized crystal structure of TiMn2Zn, as listed in Alexandria.

Output
Formation energy from the elements ... 0.4076 eV/atom
Total moment ... 8.773 Bohr magnetons per cell

abc: 5.446 5.446 5.446
angles: 103.61 103.61 121.97
Positions (direct):
Ti (0.000, 0.000, 0.000)
Ti (0.750, 0.250, 0.500)
Mn (0.128, 0.625, 0.003)
Mn (0.375, 0.378, 0.503)
Mn (0.622, 0.125, 0.997)
Mn (0.875, 0.872, 0.497)
Zn (0.250, 0.750, 0.500)
Zn (0.500, 0.500, 0.000)



18.
First-principles (PBE) data for an optimized crystal structure of CaAuF, as listed in Alexandria.

Output
Raw total energy ... -4.633 eV/atom
Total moment ... 0.000 Bohr magnetons per cell

abc: 3.821 3.821 7.635
angles: 90.00 90.00 90.00
Positions (direct):
Ca (0.250, 0.250, 0.177)
Ca (0.750, 0.750, 0.823)
Au (0.250, 0.250, 0.587)
Au (0.750, 0.750, 0.413)
F (0.250, 0.750, 0.000)
F (0.750, 0.250, 0.000)



19.
First-principles (PBE) data for an optimized crystal structure of Sc4Bi2C, as listed in Alexandria.

Output
Formation energy from the elements ... -0.6963 eV/atom
Total moment ... 0.001 Bohr magnetons per cell
E above lowest polymorph ... 0.0 kJ/mol of atoms

abc: 8.232 8.232 8.232
angles: 148.08 148.08 45.77
Positions (direct):
Sc (0.000, 0.500, 0.500)
Sc (0.148, 0.148, 0.000)
Sc (0.500, 0.000, 0.500)
Sc (0.852, 0.852, 0.000)
Bi (0.352, 0.352, 0.000)
Bi (0.648, 0.648, 0.000)
C (0.000, 0.000, 0.000)